No. 1
This record from OQMD describes an optimized crystal structure of ScAs2Au. The functional is PBE-GGA.

Raw total energy   -42.6 eV/cell
ρ   8.714 Mg/m³

a b c (Å): 3.925 3.925 9.692
angles (deg): 90.00 90.00 90.00
Positions (direct):
Sc: 0.250 0.250 0.228
Sc: 0.750 0.750 0.772
As: 0.250 0.250 0.711
As: 0.250 0.750 0.000
As: 0.750 0.250 0.000
As: 0.750 0.750 0.289
Au: 0.250 0.750 0.500
Au: 0.750 0.250 0.500

=====

No. 2
This record from OQMD describes an optimized crystal structure of SiAsAu. The functional is PBE-GGA.

Raw total energy   -12.7 eV/cell
ρ   8.495 Mg/m³

a b c (Å): 4.361 4.361 4.361
angles (deg): 60.00 60.00 60.00
Positions (direct):
Si: 0.000 0.000 0.000
As: 0.750 0.750 0.750
Au: 0.250 0.250 0.250

=====

No. 3
This record from OQMD describes an optimized crystal structure of SnAs2Au. The functional is PBE-GGA.

Raw total energy   -15.5 eV/cell
ρ   9.235 Mg/m³

a b c (Å): 4.910 4.910 4.910
angles (deg): 60.00 60.00 60.00
Positions (direct):
Sn: 0.000 0.000 0.000
As: 0.250 0.250 0.250
As: 0.500 0.500 0.500
Au: 0.750 0.750 0.750

=====

No. 4
This record from OQMD describes an optimized crystal structure of SnAsAu2. The functional is PBE-GGA.

Raw total energy   -14.6 eV/cell
ρ   11.809 Mg/m³

a b c (Å): 4.889 4.889 4.889
angles (deg): 60.00 60.00 60.00
Positions (direct):
Sn: 0.000 0.000 0.000
As: 0.250 0.250 0.250
Au: 0.500 0.500 0.500
Au: 0.750 0.750 0.750

=====

No. 5
This record from OQMD describes an optimized crystal structure of Sr2AsAu2. The functional is PBE-GGA.

Raw total energy   -18.1 eV/cell
ρ   8.230 Mg/m³

a b c (Å): 8.779 8.779 8.779
angles (deg): 153.99 153.99 37.12
Positions (direct):
Sr: 0.098 0.098 0.000
Sr: 0.902 0.902 0.000
As: 0.500 0.500 0.000
Au: 0.250 0.750 0.500
Au: 0.750 0.250 0.500

=====

No. 6
This record from OQMD describes an optimized crystal structure of Sr2AsAu. The functional is PBE-GGA.

Raw total energy   -14.9 eV/cell
ρ   6.681 Mg/m³

a b c (Å): 5.377 5.377 3.844
angles (deg): 90.00 90.00 90.00
Positions (direct):
Sr: 0.000 0.500 0.000
Sr: 0.500 0.000 0.000
As: 0.000 0.000 0.500
Au: 0.500 0.500 0.500